This record from the Alexandria database describes crystalline LiSmGa2 at its relaxed geometry. The functional is PBE.

Cell lengths 4.761, 4.761, 3.790 Å; angles 90.00, 90.00, 90.00 degrees
Space group P4/mmm (No. 123)
One atom of each set of equivalent atoms:
Li (0.000, 0.000, 0.000) [1 per cell]
Sm (0.500, 0.500, 0.000) [1 per cell]
Ga (0.000, 0.500, 0.500) [2 per cell]

The energy of formation from the pure elements comes out at -0.41 eV/atom.